Entry 1:
# TlCd2Co GGA-PBE relaxed
data_TlCd2Co
_cell_length_a 3.2037
_cell_length_b 3.2037
_cell_length_c 28.3806
_cell_angle_alpha 90.00
_cell_angle_beta 90.00
_cell_angle_gamma 120.00
_symmetry_space_group_name_H-M 'R -3 m'
_symmetry_Int_Tables_number 166
_symmetry_space_group_name_Hall '-R 3 2"'
loop_
_atom_site_label
_atom_site_type_symbol
_atom_site_fract_x
_atom_site_fract_y
_atom_site_fract_z
_atom_site_occupancy
Tl1 Tl 0.0000 0.0000 0.0000 1
Cd1 Cd 0.0000 0.0000 0.2372 1
Co1 Co 0.0000 0.0000 0.5000 1
# Calculated formation energy (kJ/mol of atoms): 32.9
# DFT total energy (eV per atom): -2.485
# Volume (Å³ per cell): 252.3
# Energy relative to the lowest polymorph listed for this composition (meV/atom): 114
# Fermi-level density of states (states/eV/atom): 0.8128

---

Entry 2:
# TlCdCo2 GGA-PBE relaxed
data_TlCdCo2
_cell_length_a 7.199
_cell_length_b 7.199
_cell_length_c 5.551
_cell_angle_alpha 90.00
_cell_angle_beta 90.00
_cell_angle_gamma 90.00
_symmetry_space_group_name_H-M 'I -4 2 d'
_symmetry_Int_Tables_number 122
_symmetry_space_group_name_Hall 'I -4 2bw'
loop_
_atom_site_label
_atom_site_type_symbol
_atom_site_fract_x
_atom_site_fract_y
_atom_site_fract_z
_atom_site_occupancy
Tl1 Tl 0.000 0.000 0.000 1
Cd1 Cd 0.000 0.000 0.500 1
Co1 Co 0.250 0.250 0.375 1
# Calculated formation energy (kJ/mol of atoms): 77.2
# DFT total energy (eV per atom): -3.573
# Volume (Å³ per cell): 287.6
# Energy relative to the lowest polymorph listed for this composition (meV/atom): 472
# Fermi-level density of states (states/eV/atom): 2.0977

---

Entry 3:
# TlCdCo2 GGA-PBE relaxed
data_TlCdCo2
_cell_length_a 3.919
_cell_length_b 3.919
_cell_length_c 8.536
_cell_angle_alpha 90.00
_cell_angle_beta 90.00
_cell_angle_gamma 90.00
_symmetry_space_group_name_H-M 'I -4 m 2'
_symmetry_Int_Tables_number 119
_symmetry_space_group_name_Hall 'I -4 -2'
loop_
_atom_site_label
_atom_site_type_symbol
_atom_site_fract_x
_atom_site_fract_y
_atom_site_fract_z
_atom_site_occupancy
Tl1 Tl 0.000 0.000 0.000 1
Cd1 Cd 0.000 0.500 0.750 1
Co1 Co 0.000 0.000 0.500 1
Co2 Co 0.000 0.500 0.250 1
# Calculated formation energy (kJ/mol of atoms): 54.1
# DFT total energy (eV per atom): -3.813
# Volume (Å³ per cell): 131.1
# Energy relative to the lowest polymorph listed for this composition (meV/atom): 232
# Fermi-level density of states (states/eV/atom): 1.6945